This record from the Alexandria database describes LiAc2Be after structural relaxation. The functional is PBE.

The structure in CIF format:
```
data_LiAc2Be
_chemical_formula_sum 'Li1 Ac2 Be1'
_cell_length_a 3.856
_cell_length_b 3.856
_cell_length_c 8.016
_cell_angle_alpha 90.00
_cell_angle_beta 90.00
_cell_angle_gamma 90.00
_space_group_name_H-M_alt 'P 4/m m m'
_space_group_IT_number 123
_space_group_name_Hall '-P 4 2'
loop_
_atom_site_label
_atom_site_fract_x
_atom_site_fract_y
_atom_site_fract_z
Li1 0.000 0.000 0.000
Ac1 0.500 0.500 0.284
Be1 0.000 0.000 0.500
```

Calculated values
- Formation enthalpy at 0 K: 0.73 eV per formula unit
- Polymorph energy (0 for the lowest one): 0 meV/atom
- Total magnetic moment: 0.00 μB per atom
- Theoretical density: 6.55 g cm⁻³